No. 1
## ScIn2CoCu4 (PBE-GGA)

Data for an optimized crystal structure of ScIn2CoCu4.

Calculated values
Symmetry: P4/mmm

Cell lengths 4.414, 4.414, 6.191 Å; angles 90.00, 90.00, 90.00 degrees
Site moments in Bohr magnetons follow the coordinates.
Element x y z (fractional)
Sc (0.000, 0.000, 0.500)  0.06
In (0.500, 0.500, 0.500)  0.00
In (0.000, 0.000, 0.000)  0.03
Co (0.500, 0.500, 0.000)  1.51
Cu (0.500, 0.000, 0.234)  0.00
Cu (0.000, 0.500, 0.234)  0.02
Cu (0.500, 0.000, 0.766)  0.00
Cu (0.000, 0.500, 0.766)  0.02



No. 2
## HgAuSO (PBE-GGA)

Data for an optimized crystal structure of HgAuSO.

Calculated values
Energy above the lowest structure with this stoichiometry: 0.109 eV/atom
Symmetry: Pmc2_1

Cell lengths 3.646, 7.289, 6.132 Å; angles 90.00, 90.00, 90.00 degrees
Element x y z (fractional)
Hg (0.000, 0.317, 0.080)
Hg (0.000, 0.683, 0.580)
S (0.000, 0.331, 0.635)
S (0.000, 0.669, 0.135)
Au (0.500, 0.129, 0.609)
Au (0.500, 0.871, 0.109)
O (0.500, 0.154, 0.167)
O (0.500, 0.846, 0.667)



No. 3
## Sc4Ta2Ga3C3 (PBE-GGA)

Data for an optimized crystal structure of Sc4Ta2Ga3C3.

Calculated values
Symmetry: C2/c

Cell lengths 5.652, 5.652, 14.303 Å; angles 101.77, 101.77, 60.05 degrees
Element x y z (fractional)
Ga (0.301, 0.419, 0.252)
Ga (0.863, 0.137, 0.250)
Ga (0.137, 0.863, 0.750)
Ga (0.581, 0.699, 0.248)
Ga (0.419, 0.301, 0.752)
Ga (0.699, 0.581, 0.748)
C (0.342, 0.817, 0.500)
C (0.183, 0.658, 0.000)
C (0.500, 0.000, 0.000)
C (0.000, 0.500, 0.500)
C (0.817, 0.342, 0.000)
C (0.658, 0.183, 0.500)
Ta (0.526, 0.352, 0.078)
Ta (0.352, 0.526, 0.578)
Ta (0.474, 0.648, 0.922)
Ta (0.648, 0.474, 0.422)
Sc (0.302, 0.125, 0.406)
Sc (0.875, 0.698, 0.094)
Sc (0.040, 0.190, 0.594)
Sc (0.960, 0.810, 0.406)
Sc (0.698, 0.875, 0.594)
Sc (0.125, 0.302, 0.906)
Sc (0.810, 0.960, 0.906)
Sc (0.190, 0.040, 0.094)



No. 4
## Pm3Ga2Si2 (PBE-GGA)

Data for an optimized crystal structure of Pm3Ga2Si2.

Calculated values
Symmetry: Immm

Cell lengths 9.685, 9.685, 9.685 Å; angles 155.97, 154.00, 35.70 degrees
Site moments in Bohr magnetons follow the coordinates.
Element x y z (fractional)
Ga (0.067, 0.067, 0.000)  0.00
Ga (0.933, 0.933, 0.000)  0.00
Si (0.145, 0.645, 0.500)  -0.01
Si (0.855, 0.355, 0.500)  -0.01
Pm (0.314, 0.814, 0.500)  0.12
Pm (0.500, 0.500, 0.000)  0.01
Pm (0.686, 0.186, 0.500)  0.12



No. 5
## TbYTlCo2 (PBE-GGA)

Data for an optimized crystal structure of TbYTlCo2.

Calculated values
Symmetry: Amm2

Cell lengths 3.819, 7.338, 7.338 Å; angles 30.29, 90.00, 90.00 degrees
Site moments in Bohr magnetons follow the coordinates.
Element x y z (fractional)
Y (0.500, 0.639, 0.639)  -0.11
Tl (0.000, 0.000, 0.000)  -0.01
Co (0.000, 0.793, 0.793)  0.91
Co (0.000, 0.208, 0.208)  0.92
Tb (0.500, 0.360, 0.360)  -0.15



No. 6
## PrTcNi (PBE-GGA)

Data for an optimized crystal structure of PrTcNi.

Calculated values
Energy above the lowest structure with this stoichiometry: 0.000 eV/atom
Symmetry: F-43m
Energy of formation: 550 meV per atom

Cell lengths 4.429, 4.429, 4.429 Å; angles 60.00, 60.00, 60.00 degrees
Site moments in Bohr magnetons follow the coordinates.
Element x y z (fractional)
Ni (0.000, 0.000, 0.000)  0.53
Tc (0.750, 0.750, 0.750)  1.57
Pr (0.250, 0.250, 0.250)  -0.07



No. 7
## Hf4SnGeN2 (PBE-GGA)

Data for an optimized crystal structure of Hf4SnGeN2.

Calculated values
Symmetry: P-6m2

Cell lengths 3.242, 3.242, 14.042 Å; angles 90.00, 90.00, 120.00 degrees
Element x y z (fractional)
Hf (0.667, 0.333, 0.830)
Hf (0.000, 0.000, 0.652)
Hf (0.000, 0.000, 0.348)
Hf (0.667, 0.333, 0.170)
N (0.333, 0.667, 0.740)
N (0.333, 0.667, 0.260)
Ge (0.667, 0.333, 0.500)
Sn (0.000, 0.000, 0.000)



No. 8
## BaUGe (PBE-GGA)

Data for an optimized crystal structure of BaUGe.

Calculated values
Energy above the lowest structure with this stoichiometry: 0.000 eV/atom
Symmetry: F-43m

Cell lengths 5.128, 5.128, 5.128 Å; angles 60.00, 60.00, 60.00 degrees
Element x y z (fractional)
Ba (0.250, 0.250, 0.250)
U (0.000, 0.000, 0.000)
Ge (0.750, 0.750, 0.750)



No. 9
## Pr2DyO4 (PBE-GGA)

Data for an optimized crystal structure of Pr2DyO4.

Calculated values
Symmetry: Fd-3m

Cell lengths 7.007, 7.007, 7.007 Å; angles 120.00, 90.01, 120.00 degrees
Element x y z (fractional)
Dy (0.750, 0.500, 0.250)
Dy (0.000, 0.000, 0.000)
Pr (0.375, 0.250, 0.625)
Pr (0.375, 0.750, 0.625)
Pr (0.375, 0.750, 0.125)
Pr (0.875, 0.250, 0.625)
O (0.127, 0.751, 0.376)
O (0.624, 0.249, 0.873)
O (0.623, 0.749, 0.874)
O (0.126, 0.251, 0.874)
O (0.126, 0.251, 0.377)
O (0.624, 0.249, 0.376)
O (0.126, 0.749, 0.874)
O (0.624, 0.751, 0.376)



No. 10
## Sc2Ir2O5 (PBE-GGA)

Data for an optimized crystal structure of Sc2Ir2O5.

Calculated values
Energy above the lowest structure with this stoichiometry: 0.000 eV/atom
Symmetry: P4/mmm

Cell lengths 8.612, 3.515, 3.515 Å; angles 90.00, 90.00, 90.00 degrees
Site moments in Bohr magnetons follow the coordinates.
Element x y z (fractional)
O (0.862, 0.500, 0.000)  0.03
O (0.138, 0.000, 0.500)  0.00
O (0.862, 0.000, 0.500)  0.00
O (0.500, 0.500, 0.500)  0.00
O (0.138, 0.500, 0.000)  0.03
Sc (0.267, 0.500, 0.500)  0.01
Sc (0.733, 0.500, 0.500)  0.01
Ir (0.000, 0.000, 0.000)  0.24
Ir (0.500, 0.000, 0.000)  0.10



No. 11
## GeBW (PBE-GGA)

Data for an optimized crystal structure of GeBW.

Calculated values
Energy above the lowest structure with this stoichiometry: 0.000 eV/atom
Symmetry: F-43m

Cell lengths 3.840, 3.840, 3.840 Å; angles 60.00, 60.00, 60.00 degrees
Element x y z (fractional)
W (0.750, 0.750, 0.750)
Ge (0.250, 0.250, 0.250)
B (0.000, 0.000, 0.000)



No. 12
## LiPdPt (PBE-GGA)

Data for an optimized crystal structure of LiPdPt.

Calculated values
Energy above the lowest structure with this stoichiometry: 0.000 eV/atom
Symmetry: F-43m

Cell lengths 3.988, 3.988, 3.988 Å; angles 60.00, 60.00, 60.00 degrees
Element x y z (fractional)
Pt (0.750, 0.750, 0.750)
Li (0.000, 0.000, 0.000)
Pd (0.250, 0.250, 0.250)



DFT total energy list, top to bottom, in eV per atom: -4.24 -3.05 -7.79 -5.18 -5.82 -6.35 -9.22 -5.18 -7.92 -7.57 -7.25 -4.39